one | A plane-wave DFT calculation with GGA-PBE was carried out for a relaxed structure of Co2HgCl.

a b c (Å): 7.956 7.956 7.956
angles (deg): 22.08 22.08 22.08
Each line ends with the local moment (μB).
Positions (direct):
Co  0.008  0.008  0.008  1.78
Co  0.492  0.492  0.492  1.78
Hg  0.250  0.250  0.250  -0.03
Cl  0.750  0.750  0.750  0.13

Total moment ... 3.6 Bohr magnetons per cell
Density of states at the Fermi level ... 1.39 states/eV per atom

***

two | A plane-wave DFT calculation with GGA-PBE was carried out for a relaxed structure of Co2HgCl.

a b c (Å): 5.254 5.302 2.998
angles (deg): 89.50 73.69 120.13
Each line ends with the local moment (μB).
Positions (direct):
Co  0.000  0.000  0.000  1.89
Co  0.000  0.500  0.500  1.89
Hg  0.500  0.500  0.000  -0.02
Cl  0.500  0.000  0.500  0.07

Total moment ... 3.8 Bohr magnetons per cell
Density of states at the Fermi level ... 1.86 states/eV per atom

***

three | A plane-wave DFT calculation with GGA-PBE was carried out for a relaxed structure of Co2HgCl.

a b c (Å): 3.683 3.135 6.832
angles (deg): 86.32 90.00 90.00
Each line ends with the local moment (μB).
Positions (direct):
Co  0.000  0.879  0.091  1.72
Co  0.500  0.376  0.121  1.76
Hg  0.000  0.332  0.426  -0.05
Cl  0.500  0.914  0.862  0.10

Total moment ... 3.4 Bohr magnetons per cell
Density of states at the Fermi level ... 0.87 states/eV per atom

***

Stability verdict: three, ahead by 0.129 eV/atom

***

one | A plane-wave DFT calculation with GGA-PBE was carried out for a relaxed structure of Co2HgCl.

a b c (Å): 6.032 6.032 4.688
angles (deg): 89.92 89.92 29.45
Each line ends with the local moment (μB).
Positions (direct):
Co  0.009  0.009  0.000  1.84
Co  0.651  0.651  0.000  1.94
Hg  0.534  0.534  0.500  -0.01
Cl  0.305  0.305  0.000  0.07

Total moment ... 3.8 Bohr magnetons per cell
Density of states at the Fermi level ... 0.87 states/eV per atom

***

two | A plane-wave DFT calculation with GGA-PBE was carried out for a relaxed structure of Co2HgCl.

a b c (Å): 4.562 4.562 7.966
angles (deg): 73.36 73.36 90.00
Each line ends with the local moment (μB).
Positions (direct):
Co  0.481  0.125  0.250  1.53
Co  0.269  0.625  0.250  1.53
Co  0.375  0.519  0.750  1.53
Co  0.875  0.731  0.750  1.52
Hg  0.000  0.000  0.000  0.01
Hg  0.750  0.250  0.500  0.01
Cl  0.500  0.500  0.000  0.05
Cl  0.250  0.750  0.500  0.05

Total moment ... 6.0 Bohr magnetons per cell
Density of states at the Fermi level ... 0.61 states/eV per atom

***

Stability verdict: one, ahead by 0.318 eV/atom

***

one | A plane-wave DFT calculation with GGA-PBE was carried out for a relaxed structure of Co2HgCl.

a b c (Å): 2.987 4.138 6.124
angles (deg): 89.97 90.00 90.00
Each line ends with the local moment (μB).
Positions (direct):
Co  0.000  0.751  0.069  1.77
Co  0.000  0.749  0.431  1.77
Hg  0.500  0.250  0.250  -0.04
Cl  0.500  0.750  0.750  0.07

Total moment ... 3.6 Bohr magnetons per cell
Density of states at the Fermi level ... 1.31 states/eV per atom

***

two | A plane-wave DFT calculation with GGA-PBE was carried out for a relaxed structure of Co2HgCl.

a b c (Å): 5.849 5.849 5.849
angles (deg): 143.60 143.60 52.43
Each line ends with the local moment (μB).
Positions (direct):
Co  0.000  0.000  0.000  1.78
Co  0.250  0.750  0.500  1.99
Hg  0.500  0.500  0.000  -0.04
Cl  0.750  0.250  0.500  0.07

Total moment ... 3.8 Bohr magnetons per cell
Density of states at the Fermi level ... 1.62 states/eV per atom

***

Stability verdict: one, ahead by 0.408 eV/atom

***

one | A plane-wave DFT calculation with GGA-PBE was carried out for a relaxed structure of Co2HgCl.

a b c (Å): 2.950 2.950 7.978
angles (deg): 90.00 90.00 90.00
Each line ends with the local moment (μB).
Positions (direct):
Co  0.000  0.000  0.028  2.00
Co  0.500  0.500  0.198  1.73
Hg  0.000  0.000  0.435  -0.01
Cl  0.500  0.500  0.839  0.12

Total moment ... 3.8 Bohr magnetons per cell
Density of states at the Fermi level ... 1.03 states/eV per atom

***

two | A plane-wave DFT calculation with GGA-PBE was carried out for a relaxed structure of Co2HgCl.

a b c (Å): 5.065 5.065 7.466
angles (deg): 50.57 50.57 35.34
Each line ends with the local moment (μB).
Positions (direct):
Co  0.946  0.946  0.894  1.86
Co  0.554  0.554  0.606  1.86
Hg  0.750  0.750  0.750  -0.02
Cl  0.250  0.250  0.250  0.06

Total moment ... 3.8 Bohr magnetons per cell
Density of states at the Fermi level ... 0.87 states/eV per atom

***

Stability verdict: two, ahead by 0.019 eV/atom

***

one | A plane-wave DFT calculation with GGA-PBE was carried out for a relaxed structure of CoHgCl2.

a b c (Å): 5.926 5.926 5.926
angles (deg): 147.47 105.45 83.72
Each line ends with the local moment (μB).
Positions (direct):
Co  0.507  0.507  0.000  1.29
Hg  0.278  0.778  0.500  -0.04
Cl  0.046  0.046  0.000  -0.03
Cl  0.669  0.169  0.500  0.00

Total moment ... 1.3 Bohr magnetons per cell
Density of states at the Fermi level ... 0.95 states/eV per atom

***

two | A plane-wave DFT calculation with GGA-PBE was carried out for a relaxed structure of CoHgCl2.

a b c (Å): 7.151 7.151 6.898
angles (deg): 58.78 58.78 90.00
Each line ends with the local moment (μB).
Positions (direct):
Co  0.500  0.500  0.000  2.44
Co  0.250  0.750  0.500  2.43
Hg  0.000  0.000  0.000  0.03
Hg  0.750  0.250  0.500  0.03
Cl  0.481  0.125  0.250  0.17
Cl  0.269  0.625  0.250  0.17
Cl  0.375  0.519  0.750  0.17
Cl  0.875  0.731  0.750  0.17

Total moment ... 6.0 Bohr magnetons per cell
Density of states at the Fermi level ... 0.22 states/eV per atom

***

three | A plane-wave DFT calculation with GGA-PBE was carried out for a relaxed structure of CoHgCl2.

a b c (Å): 3.773 3.773 8.757
angles (deg): 90.00 90.00 127.27
Each line ends with the local moment (μB).
Positions (direct):
Co  0.000  0.000  0.495  1.10
Hg  0.500  0.500  0.723  -0.04
Cl  0.000  0.000  0.946  -0.04
Cl  0.500  0.500  0.337  0.01

Total moment ... 1.0 Bohr magnetons per cell
Density of states at the Fermi level ... 1.02 states/eV per atom

***

Stability verdict: two, ahead by 0.217 eV/atom

***

one | A plane-wave DFT calculation with GGA-PBE was carried out for a relaxed structure of CoHgCl2.

a b c (Å): 4.894 4.894 4.894
angles (deg): 60.00 60.00 60.00
Each line ends with the local moment (μB).
Positions (direct):
Co  0.000  0.000  0.000  2.19
Hg  0.500  0.500  0.500  0.05
Cl  0.250  0.250  0.250  0.07
Cl  0.750  0.750  0.750  0.07

Total moment ... 2.4 Bohr magnetons per cell
Density of states at the Fermi level ... 1.68 states/eV per atom

***

two | A plane-wave DFT calculation with GGA-PBE was carried out for a relaxed structure of CoHgCl2.

a b c (Å): 3.106 3.106 9.652
angles (deg): 90.00 90.00 90.00
Each line ends with the local moment (μB).
Positions (direct):
Co  0.500  0.500  0.250  2.40
Hg  0.500  0.500  0.750  0.00
Cl  0.000  0.000  0.097  0.19
Cl  0.000  0.000  0.403  0.19

Total moment ... 2.9 Bohr magnetons per cell
Density of states at the Fermi level ... 0.39 states/eV per atom

***

three | A plane-wave DFT calculation with GGA-PBE was carried out for a relaxed structure of CoHgCl2.

a b c (Å): 10.647 10.647 10.647
angles (deg): 19.08 19.08 19.08
Each line ends with the local moment (μB).
Positions (direct):
Co  0.000  0.000  0.000  2.32
Hg  0.500  0.500  0.500  0.01
Cl  0.934  0.934  0.934  0.20
Cl  0.066  0.066  0.066  0.20

Total moment ... 2.9 Bohr magnetons per cell
Density of states at the Fermi level ... 0.78 states/eV per atom

***

Stability verdict: two, ahead by 0.059 eV/atom

***

one | A plane-wave DFT calculation with GGA-PBE was carried out for a relaxed structure of CoHg2Cl2.

a b c (Å): 4.562 4.562 6.879
angles (deg): 70.64 70.64 90.00
Each line ends with the local moment (μB).
Positions (direct):
Co  0.000  0.000  0.000  2.28
Hg  0.390  0.390  0.220  0.01
Hg  0.610  0.610  0.780  0.01
Cl  0.750  0.250  0.500  0.01
Cl  0.250  0.750  0.500  0.01

Total moment ... 2.6 Bohr magnetons per cell
Density of states at the Fermi level ... 1.18 states/eV per atom

***

two | A plane-wave DFT calculation with GGA-PBE was carried out for a relaxed structure of CoHg2Cl2.

a b c (Å): 7.133 7.133 4.698
angles (deg): 90.00 90.00 90.00
Each line ends with the local moment (μB).
Positions (direct):
Co  0.000  0.000  0.000  2.24
Co  0.500  0.500  0.000  2.24
Hg  0.358  0.858  0.000  0.04
Hg  0.858  0.642  0.000  0.04
Hg  0.642  0.142  0.000  0.04
Hg  0.142  0.358  0.000  0.04
Cl  0.190  0.690  0.500  0.11
Cl  0.690  0.810  0.500  0.10
Cl  0.810  0.310  0.500  0.11
Cl  0.310  0.190  0.500  0.10

Total moment ... 5.5 Bohr magnetons per cell
Density of states at the Fermi level ... 2.68 states/eV per atom

***

Stability verdict: two, ahead by 0.183 eV/atom

***

one | A plane-wave DFT calculation with GGA-PBE was carried out for a relaxed structure of CoHgCl.

a b c (Å): 3.413 3.413 6.202
angles (deg): 90.00 90.00 120.00
Each line ends with the local moment (μB).
Positions (direct):
Co  0.333  0.667  0.298  1.85
Hg  0.667  0.333  0.603  0.01
Cl  0.000  0.000  0.099  0.12

Total moment ... 2.0 Bohr magnetons per cell
Density of states at the Fermi level ... 0.55 states/eV per atom

***

two | A plane-wave DFT calculation with GGA-PBE was carried out for a relaxed structure of CoHgCl.

a b c (Å): 4.522 4.522 4.522
angles (deg): 60.00 60.00 60.00
Each line ends with the local moment (μB).
Positions (direct):
Co  0.250  0.250  0.250  1.92
Hg  0.000  0.000  0.000  0.04
Cl  0.500  0.500  0.500  0.09

Total moment ... 2.0 Bohr magnetons per cell
Density of states at the Fermi level ... 1.97 states/eV per atom

***

three | A plane-wave DFT calculation with GGA-PBE was carried out for a relaxed structure of CoHgCl.

a b c (Å): 7.215 6.785 3.399
angles (deg): 83.11 69.00 27.88
Each line ends with the local moment (μB).
Positions (direct):
Co  0.348  0.348  0.652  1.93
Hg  0.689  0.689  0.311  0.01
Cl  0.963  0.963  0.037  0.10

Total moment ... 2.1 Bohr magnetons per cell
Density of states at the Fermi level ... 1.25 states/eV per atom

***

Stability verdict: one, ahead by 0.180 eV/atom

***

one | A plane-wave DFT calculation with GGA-PBE was carried out for a relaxed structure of CoHgP2Cl.

a b c (Å): 4.946 4.946 5.429
angles (deg): 90.00 90.00 90.00
Each line ends with the local moment (μB).
Positions (direct):
P  0.000  0.500  0.000  0.28
P  0.500  0.000  0.000  0.28
Co  0.500  0.500  0.500  2.25
Hg  0.000  0.000  0.000  0.04
Cl  0.000  0.000  0.500  0.13

Total moment ... 3.7 Bohr magnetons per cell
Density of states at the Fermi level ... 0.66 states/eV per atom

***

two | A plane-wave DFT calculation with GGA-PBE was carried out for a relaxed structure of CoHgP2Cl.

a b c (Å): 4.328 4.328 5.195
angles (deg): 90.00 90.00 90.00
Positions (direct):
P  0.000  0.500  0.000
P  0.500  0.000  0.000
Co  0.000  0.000  0.000
Hg  0.500  0.500  0.500
Cl  0.000  0.000  0.500

Total moment ... 0.0 Bohr magnetons per cell
Density of states at the Fermi level ... 1.03 states/eV per atom

***

Stability verdict: two, ahead by 1.117 eV/atom

***

one | A plane-wave DFT calculation with GGA-PBE was carried out for a relaxed structure of Ho4CoCl5.

a b c (Å): 3.776 8.129 9.287
angles (deg): 102.13 101.73 90.00
Positions (direct):
Ho  0.352  0.921  0.704
Ho  0.998  0.783  0.997
Ho  0.648  0.079  0.296
Ho  0.002  0.217  0.003
Co  0.500  0.000  0.000
Cl  0.833  0.675  0.666
Cl  0.820  0.146  0.640
Cl  0.180  0.854  0.360
Cl  0.500  0.500  0.000
Cl  0.167  0.325  0.334

Total moment ... 0.0 Bohr magnetons per cell
Density of states at the Fermi level ... 0.15 states/eV per atom

***

two | A plane-wave DFT calculation with GGA-PBE was carried out for a relaxed structure of Ho4CoCl5.

a b c (Å): 3.774 8.140 10.134
angles (deg): 89.80 100.73 90.00
Positions (direct):
Ho  0.369  0.001  0.738
Ho  0.000  0.783  0.000
Ho  0.631  0.999  0.262
Ho  0.000  0.217  0.000
Co  0.500  0.000  0.000
Cl  0.846  0.769  0.692
Cl  0.846  0.233  0.692
Cl  0.154  0.767  0.308
Cl  0.500  0.500  0.000
Cl  0.154  0.231  0.308

Total moment ... 0.0 Bohr magnetons per cell
Density of states at the Fermi level ... 0.10 states/eV per atom

***

Stability verdict: one, ahead by 0.027 eV/atom

***

one | A plane-wave DFT calculation with GGA-PBE was carried out for a relaxed structure of CoI2NCl.

a b c (Å): 5.598 5.598 3.423
angles (deg): 90.00 90.00 90.00
Positions (direct):
I  0.000  0.500  0.000
I  0.500  0.000  0.000
N  0.000  0.000  0.500
Co  0.000  0.000  0.000
Cl  0.500  0.500  0.500

Total moment ... 0.0 Bohr magnetons per cell
Density of states at the Fermi level ... 1.19 states/eV per atom

***

two | A plane-wave DFT calculation with GGA-PBE was carried out for a relaxed structure of CoI2NCl.

a b c (Å): 6.560 6.560 3.316
angles (deg): 90.00 90.00 90.00
Each line ends with the local moment (μB).
Positions (direct):
I  0.000  0.500  0.000  0.03
I  0.500  0.000  0.000  0.03
N  0.000  0.000  0.500  -0.01
Co  0.500  0.500  0.500  2.18
Cl  0.000  0.000  0.000  0.00

Total moment ... 2.3 Bohr magnetons per cell
Density of states at the Fermi level ... 0.99 states/eV per atom

***

Stability verdict: one, ahead by 1.044 eV/atom

***

one | A plane-wave DFT calculation with GGA-PBE was carried out for a relaxed structure of CoSICl2.

a b c (Å): 4.555 4.555 4.930
angles (deg): 90.00 90.00 90.00
Each line ends with the local moment (μB).
Positions (direct):
I  0.500  0.500  0.500  0.01
S  0.000  0.000  0.500  0.03
Co  0.000  0.000  0.000  1.40
Cl  0.000  0.500  0.000  0.07
Cl  0.500  0.000  0.000  0.07

Total moment ... 1.7 Bohr magnetons per cell
Density of states at the Fermi level ... 1.34 states/eV per atom

***

two | A plane-wave DFT calculation with GGA-PBE was carried out for a relaxed structure of CoSICl2.

a b c (Å): 5.450 5.450 5.188
angles (deg): 90.00 90.00 90.00
Each line ends with the local moment (μB).
Positions (direct):
I  0.000  0.000  0.000  0.00
S  0.000  0.000  0.500  -0.03
Co  0.500  0.500  0.500  2.19
Cl  0.000  0.500  0.000  0.01
Cl  0.500  0.000  0.000  0.01

Total moment ... 2.3 Bohr magnetons per cell
Density of states at the Fermi level ... 2.25 states/eV per atom

***

Stability verdict: one, ahead by 0.808 eV/atom